Computed, not measured: K2LiHgBr4 after structural relaxation at the PBE level of DFT.

The space group is Fddd (No. 70, origin choice 2) and the conventional cell measures 6.513, 14.561 and 23.138 Å, with angles of 90.00, 90.00 and 90.00 degrees. The distinct sites, in fractional coordinates, are K at (0.125, 0.125, 0.307), Li at (0.125, 0.125, 0.125), Hg at (0.125, 0.125, 0.625) and Br at (0.063, 0.260, 0.438).

The value obtained for the uncorrected energy is -20.659 eV/f.u. For the raw formation energy, the calculation gives -9.56 eV/f.u. The calculation puts the size of the total moment at 0.39 μB per formula unit.



Computed, not measured: Nd6Pb2C after structural relaxation at the PBE level of DFT.

The space group is P2_1/c (No. 14) and the conventional cell measures 6.624, 8.535 and 11.663 Å, with angles of 90.00, 121.06 and 90.00 degrees. The distinct sites, in fractional coordinates, are Nd at (0.129, 0.151, 0.457), Nd at (0.317, 0.722, 0.452), Nd at (0.357, 0.034, 0.251), Pb at (0.187, 0.103, 0.767) and C at (0.500, 0.000, 0.500).

As for the excess energy over the best structure of this formula in the dataset: 0.45 eV/f.u. The formation energy is -308 meV per atom. The value obtained for the uncorrected energy is -48.023 eV/f.u. The calculation puts the size of the total moment at 0.00 μB per formula unit.



Computed, not measured: CsBaCeI6 after structural relaxation at the PBE level of DFT.

The space group is P-31c (No. 163) and the conventional cell measures 8.6978, 8.6978 and 16.3429 Å, with angles of 90.00, 90.00 and 120.00 degrees. The distinct sites, in fractional coordinates, are Cs at (0.0000, 0.0000, 0.0000), Ba at (0.3333, 0.6667, 0.2500), Ce at (0.3333, 0.6667, 0.7500) and I at (0.0272, 0.3863, 0.6361).

The value obtained for the uncorrected energy is -31.945 eV/f.u. For the raw formation energy, the calculation gives -13.93 eV/f.u. The calculation puts the size of the total moment at 1.00 μB per formula unit.